Material: GdTmGeIr
Method: DFT, PBE-GGA
State: relaxed

Properties
uncorrected energy	-8.70	eV/atom
E_form	-16.0	kcal/mol of atoms
calculated density	11.5	g/cm3

```
data_GdTmGeIr
_cell_length_a 6.9981
_cell_length_b 6.9981
_cell_length_c 6.9981
_cell_angle_alpha 90.00
_cell_angle_beta 90.00
_cell_angle_gamma 90.00
_space_group_name_H-M_alt 'F -4 3 m'
_space_group_IT_number 216
_space_group_name_Hall 'F -4 2 3'
loop_
_atom_site_label
_atom_site_type_symbol
_atom_site_fract_x
_atom_site_fract_y
_atom_site_fract_z
_atom_site_occupancy
Gd1 Gd 0.0000 0.0000 0.0000 1
Tm1 Tm 0.0000 0.0000 0.5000 1
Ge1 Ge 0.2500 0.2500 0.2500 1
Ir1 Ir 0.2500 0.2500 0.7500 1
```